## w
Here is a relaxed structure of KTiTe2I from Alexandria via LeMat-Bulk. Energies are from PBE-GGA.

CIF file:
```
data_KTiTe2I
_chemical_formula_sum 'K1 Ti1 Te2 I1'
_symmetry_space_group_name_H-M 'P 4/m m m'
_symmetry_Int_Tables_number 123
_symmetry_space_group_name_Hall '-P 4 2'
_cell_length_a 5.368
_cell_length_b 5.368
_cell_length_c 6.049
_cell_angle_alpha 90.00
_cell_angle_beta 90.00
_cell_angle_gamma 90.00
loop_
_atom_site_label
_atom_site_fract_x
_atom_site_fract_y
_atom_site_fract_z
_atom_site_occupancy
K1 0.000 0.000 0.000 1
Ti1 0.500 0.500 0.500 1
Te1 0.000 0.500 0.500 1
I1 0.500 0.500 0.000 1
```

Computed properties:
size of the total moment	0.37	Bohr magnetons per cell
crystal system	tetragonal
DOS at the Fermi energy	2.54	states/eV per cell



## x
Here is a relaxed structure of KTiTe2I from Alexandria via LeMat-Bulk. Energies are from PBE-GGA.

CIF file:
```
data_KTiTe2I
_chemical_formula_sum 'K1 Ti1 Te2 I1'
_symmetry_space_group_name_H-M 'P 4/m m m'
_symmetry_Int_Tables_number 123
_symmetry_space_group_name_Hall '-P 4 2'
_cell_length_a 5.938
_cell_length_b 5.938
_cell_length_c 6.037
_cell_angle_alpha 90.00
_cell_angle_beta 90.00
_cell_angle_gamma 90.00
loop_
_atom_site_label
_atom_site_fract_x
_atom_site_fract_y
_atom_site_fract_z
_atom_site_occupancy
K1 0.000 0.000 0.000 1
Ti1 0.500 0.500 0.500 1
Te1 0.000 0.500 0.000 1
I1 0.000 0.000 0.500 1
```

Computed properties:
size of the total moment	0.12	Bohr magnetons per cell
crystal system	tetragonal
DOS at the Fermi energy	14.78	states/eV per cell



Relative to the most stable one, in meV/atom, the structures come out at w 0; x 1685.



## w
Here is a relaxed structure of KTlTeI2 from Alexandria via LeMat-Bulk. Energies are from PBE-GGA.

CIF file:
```
data_KTlTeI2
_chemical_formula_sum 'K1 Tl1 Te1 I2'
_symmetry_space_group_name_H-M 'P 4/m m m'
_symmetry_Int_Tables_number 123
_symmetry_space_group_name_Hall '-P 4 2'
_cell_length_a 6.346
_cell_length_b 6.346
_cell_length_c 5.796
_cell_angle_alpha 90.00
_cell_angle_beta 90.00
_cell_angle_gamma 90.00
loop_
_atom_site_label
_atom_site_fract_x
_atom_site_fract_y
_atom_site_fract_z
_atom_site_occupancy
K1 0.000 0.000 0.000 1
Tl1 0.500 0.500 0.500 1
Te1 0.500 0.500 0.000 1
I1 0.000 0.500 0.500 1
```

Computed properties:
size of the total moment	0.64	Bohr magnetons per cell
crystal system	tetragonal
DOS at the Fermi energy	5.54	states/eV per cell



## x
Here is a relaxed structure of KTlTeI2 from Alexandria via LeMat-Bulk. Energies are from PBE-GGA.

CIF file:
```
data_KTlTeI2
_chemical_formula_sum 'K1 Tl1 Te1 I2'
_symmetry_space_group_name_H-M 'P 4/m m m'
_symmetry_Int_Tables_number 123
_symmetry_space_group_name_Hall '-P 4 2'
_cell_length_a 6.563
_cell_length_b 6.563
_cell_length_c 6.372
_cell_angle_alpha 90.00
_cell_angle_beta 90.00
_cell_angle_gamma 90.00
loop_
_atom_site_label
_atom_site_fract_x
_atom_site_fract_y
_atom_site_fract_z
_atom_site_occupancy
K1 0.000 0.000 0.000 1
Tl1 0.500 0.500 0.500 1
Te1 0.000 0.000 0.500 1
I1 0.000 0.500 0.000 1
```

Computed properties:
size of the total moment	2.04	Bohr magnetons per cell
crystal system	tetragonal
DOS at the Fermi energy	4.80	states/eV per cell



Relative to the most stable one, in meV/atom, the structures come out at w 0; x 313.



## w
Here is a relaxed structure of KTlTe2I from Alexandria via LeMat-Bulk. Energies are from PBE-GGA.

CIF file:
```
data_KTlTe2I
_chemical_formula_sum 'K1 Tl1 Te2 I1'
_symmetry_space_group_name_H-M 'P 4/m m m'
_symmetry_Int_Tables_number 123
_symmetry_space_group_name_Hall '-P 4 2'
_cell_length_a 6.421
_cell_length_b 6.421
_cell_length_c 6.459
_cell_angle_alpha 90.00
_cell_angle_beta 90.00
_cell_angle_gamma 90.00
loop_
_atom_site_label
_atom_site_fract_x
_atom_site_fract_y
_atom_site_fract_z
_atom_site_occupancy
K1 0.000 0.000 0.000 1
Tl1 0.500 0.500 0.500 1
Te1 0.000 0.500 0.000 1
I1 0.000 0.000 0.500 1
```

Computed properties:
size of the total moment	3.01	Bohr magnetons per cell
crystal system	tetragonal
DOS at the Fermi energy	5.97	states/eV per cell



## x
Here is a relaxed structure of KTlTe2I from Alexandria via LeMat-Bulk. Energies are from PBE-GGA.

CIF file:
```
data_KTlTe2I
_chemical_formula_sum 'K1 Tl1 Te2 I1'
_symmetry_space_group_name_H-M 'P 4/m m m'
_symmetry_Int_Tables_number 123
_symmetry_space_group_name_Hall '-P 4 2'
_cell_length_a 5.823
_cell_length_b 5.823
_cell_length_c 6.578
_cell_angle_alpha 90.00
_cell_angle_beta 90.00
_cell_angle_gamma 90.00
loop_
_atom_site_label
_atom_site_fract_x
_atom_site_fract_y
_atom_site_fract_z
_atom_site_occupancy
K1 0.000 0.000 0.000 1
Tl1 0.500 0.500 0.500 1
Te1 0.000 0.500 0.500 1
I1 0.500 0.500 0.000 1
```

Computed properties:
size of the total moment	0.72	Bohr magnetons per cell
crystal system	tetragonal
DOS at the Fermi energy	8.33	states/eV per cell



Relative to the most stable one, in meV/atom, the structures come out at w 412; x 0.



## w
Here is a relaxed structure of KYTe2I from Alexandria via LeMat-Bulk. Energies are from PBE-GGA.

CIF file:
```
data_KYTe2I
_chemical_formula_sum 'K1 Y1 Te2 I1'
_symmetry_space_group_name_H-M 'P 4/m m m'
_symmetry_Int_Tables_number 123
_symmetry_space_group_name_Hall '-P 4 2'
_cell_length_a 5.899
_cell_length_b 5.899
_cell_length_c 6.218
_cell_angle_alpha 90.00
_cell_angle_beta 90.00
_cell_angle_gamma 90.00
loop_
_atom_site_label
_atom_site_fract_x
_atom_site_fract_y
_atom_site_fract_z
_atom_site_occupancy
K1 0.000 0.000 0.000 1
Y1 0.500 0.500 0.500 1
Te1 0.000 0.500 0.500 1
I1 0.500 0.500 0.000 1
```

Computed properties:
size of the total moment	0.00	Bohr magnetons per cell
crystal system	tetragonal
DOS at the Fermi energy	5.91	states/eV per cell



## x
Here is a relaxed structure of KYTe2I from Alexandria via LeMat-Bulk. Energies are from PBE-GGA.

CIF file:
```
data_KYTe2I
_chemical_formula_sum 'K1 Y1 Te2 I1'
_symmetry_space_group_name_H-M 'P 4/m m m'
_symmetry_Int_Tables_number 123
_symmetry_space_group_name_Hall '-P 4 2'
_cell_length_a 5.915
_cell_length_b 5.915
_cell_length_c 5.851
_cell_angle_alpha 90.00
_cell_angle_beta 90.00
_cell_angle_gamma 90.00
loop_
_atom_site_label
_atom_site_fract_x
_atom_site_fract_y
_atom_site_fract_z
_atom_site_occupancy
K1 0.000 0.000 0.000 1
Y1 0.500 0.500 0.500 1
Te1 0.000 0.500 0.000 1
I1 0.000 0.000 0.500 1
```

Computed properties:
size of the total moment	0.00	Bohr magnetons per cell
crystal system	tetragonal
DOS at the Fermi energy	5.22	states/eV per cell



Relative to the most stable one, in meV/atom, the structures come out at w 0; x 1216.